Compound: Pm12AlTl4O3
Source: the Alexandria database
Functional: PBE-GGA
Structure: optimized geometry

**Total DFT energy (no corrections)**: -5.1915 eV per atom
**Raw formation energy**: -0.937 eV/atom
**Theoretical density**: 8.17 Mg/m³

a = 8.8591 Å, b = 8.8591 Å, c = 8.8591 Å
α = 109.47°, β = 109.47°, γ = 109.47°
Sites, in units of the cell vectors:
Pm (0.0000, 0.2677, 0.2677)
Pm (0.0000, 0.7323, 0.7323)
Pm (0.2500, 0.5000, 0.7500)
Pm (0.2500, 0.7500, 0.5000)
Pm (0.2677, 0.0000, 0.2677)
Pm (0.2677, 0.2677, 0.0000)
Pm (0.5000, 0.2500, 0.7500)
Pm (0.5000, 0.7500, 0.2500)
Pm (0.7323, 0.0000, 0.7323)
Pm (0.7323, 0.7323, 0.0000)
Pm (0.7500, 0.2500, 0.5000)
Pm (0.7500, 0.5000, 0.2500)
Al (0.0000, 0.0000, 0.0000)
Tl (0.0000, 0.0000, 0.5000)
Tl (0.0000, 0.5000, 0.0000)
Tl (0.5000, 0.0000, 0.0000)
Tl (0.5000, 0.5000, 0.5000)
O (0.0000, 0.5000, 0.5000)
O (0.5000, 0.0000, 0.5000)
O (0.5000, 0.5000, 0.0000)


Compound: Sr2AsP
Source: the Alexandria database
Functional: PBE-GGA
Structure: optimized geometry

**Total DFT energy (no corrections)**: -4.1052 eV per atom
**Theoretical density**: 4.30 Mg/m³
**Relative energy among the computed polymorphs**: 0.208 eV per atom
**Formation energy from the elements**: -0.75 eV per atom

a = 5.3559 Å, b = 5.3559 Å, c = 5.3559 Å
α = 60.00°, β = 60.00°, γ = 60.00°
Sites, in units of the cell vectors:
Sr (0.2500, 0.2500, 0.2500)
Sr (0.7500, 0.7500, 0.7500)
As (0.0000, 0.0000, 0.0000)
P (0.5000, 0.5000, 0.5000)


Compound: SrZnGa2Pd
Source: the Alexandria database
Functional: PBE-GGA
Structure: optimized geometry

**Total DFT energy (no corrections)**: -3.3618 eV per atom
**Theoretical density**: 6.37 Mg/m³
**Relative energy among the computed polymorphs**: 0.000 eV per atom
**Formation energy from the elements**: -0.52 eV per atom

a = 6.0586 Å, b = 6.0586 Å, c = 6.0586 Å
α = 136.51°, β = 136.51°, γ = 63.20°
Sites, in units of the cell vectors:
Sr (0.0000, 0.0000, 0.0000)
Zn (0.2500, 0.7500, 0.5000)
Ga (0.3719, 0.3719, 0.0000)
Ga (0.6281, 0.6281, 0.0000)
Pd (0.7500, 0.2500, 0.5000)


Compound: RbEu3Pd
Source: the Alexandria database
Functional: PBE-GGA
Structure: optimized geometry

**Total DFT energy (no corrections)**: -7.5662 eV per atom
**Theoretical density**: 4.94 Mg/m³
**Formation energy from the elements**: -0.17 eV per atom

a = 6.0151 Å, b = 6.0151 Å, c = 6.0151 Å
α = 90.00°, β = 90.00°, γ = 90.00°
Sites, in units of the cell vectors:
Rb (0.0000, 0.0000, 0.0000)
Eu (0.0000, 0.5000, 0.5000)
Eu (0.5000, 0.0000, 0.5000)
Eu (0.5000, 0.5000, 0.0000)
Pd (0.5000, 0.5000, 0.5000)


Compound: Tb3Nd3Dy5
Source: the Alexandria database
Functional: PBE-GGA
Structure: optimized geometry

**Total DFT energy (no corrections)**: -3.8588 eV per atom
**Theoretical density**: 6.46 Mg/m³
**Formation energy from the elements**: 0.80 eV per atom

a = 9.6589 Å, b = 9.6589 Å, c = 5.4820 Å
α = 90.00°, β = 90.00°, γ = 120.00°
Sites, in units of the cell vectors:
Tb (0.0000, 0.5449, 0.0000)
Tb (0.4551, 0.4551, 0.0000)
Tb (0.5449, 0.0000, 0.0000)
Nd (0.0000, 0.3650, 0.5000)
Nd (0.3650, 0.0000, 0.5000)
Nd (0.6350, 0.6350, 0.5000)
Dy (0.0000, 0.7323, 0.5000)
Dy (0.2677, 0.2677, 0.5000)
Dy (0.3333, 0.6667, 0.5000)
Dy (0.6667, 0.3333, 0.5000)
Dy (0.7323, 0.0000, 0.5000)


Compound: MnCr4
Source: the Alexandria database
Functional: PBE-GGA
Structure: optimized geometry

**Total DFT energy (no corrections)**: -8.4366 eV per atom
**Theoretical density**: 5.33 Mg/m³
**Relative energy among the computed polymorphs**: 1.078 eV per atom
**Formation energy from the elements**: 1.10 eV per atom

a = 4.3423 Å, b = 4.3423 Å, c = 4.3423 Å
α = 90.00°, β = 90.00°, γ = 90.00°
Sites, in units of the cell vectors:
Mn (0.0000, 0.0000, 0.0000)
Cr (0.0000, 0.0000, 0.5000)
Cr (0.0000, 0.5000, 0.0000)
Cr (0.5000, 0.0000, 0.0000)
Cr (0.5000, 0.5000, 0.5000)


Compound: LaPr5Y
Source: the Alexandria database
Functional: PBE-GGA
Structure: optimized geometry

**Total DFT energy (no corrections)**: -4.1100 eV per atom
**Theoretical density**: 4.81 Mg/m³
**Relative energy among the computed polymorphs**: 0.000 eV per atom
**Formation energy from the elements**: 0.93 eV per atom

a = 8.1095 Å, b = 8.1095 Å, c = 8.1095 Å
α = 136.89°, β = 113.80°, γ = 82.32°
Sites, in units of the cell vectors:
La (0.0000, 0.0000, 0.0000)
Pr (0.0000, 0.5000, 0.5000)
Pr (0.2488, 0.2488, 0.0000)
Pr (0.3236, 0.0000, 0.3236)
Pr (0.6764, 0.0000, 0.6764)
Pr (0.7512, 0.7512, 0.0000)
Y (0.5000, 0.5000, 0.0000)


Compound: W4Br3
Source: the Alexandria database
Functional: PBE-GGA
Structure: optimized geometry

**Total DFT energy (no corrections)**: -7.4449 eV per atom
**Raw formation energy**: 0.674 eV/atom
**Theoretical density**: 11.06 Mg/m³

a = 14.7931 Å, b = 14.7931 Å, c = 14.7931 Å
α = 167.72°, β = 167.72°, γ = 17.40°
Sites, in units of the cell vectors:
W (0.0735, 0.0735, 0.0000)
W (0.3780, 0.3780, 0.0000)
W (0.6220, 0.6220, 0.0000)
W (0.9265, 0.9265, 0.0000)
Br (0.1884, 0.1884, 0.0000)
Br (0.5000, 0.5000, 0.0000)
Br (0.8116, 0.8116, 0.0000)


Compound: Fe5Ni3
Source: the Alexandria database
Functional: PBE-GGA
Structure: optimized geometry

**Total DFT energy (no corrections)**: -7.4587 eV per atom
**Theoretical density**: 8.25 Mg/m³
**Relative energy among the computed polymorphs**: 0.007 eV per atom
**Formation energy from the elements**: 0.00 eV per atom

a = 6.1983 Å, b = 5.6422 Å, c = 4.3951 Å
α = 75.12°, β = 61.62°, γ = 43.26°
Sites, in units of the cell vectors:
Fe (0.0000, 0.0000, 0.0000)
Fe (0.1253, 0.1253, 0.3747)
Fe (0.3747, 0.3747, 0.1253)
Fe (0.6253, 0.6253, 0.8747)
Fe (0.8747, 0.8747, 0.6253)
Ni (0.2517, 0.2517, 0.7483)
Ni (0.5000, 0.5000, 0.5000)
Ni (0.7483, 0.7483, 0.2517)


Compound: Mg2NbInH
Source: the Alexandria database
Functional: PBE-GGA
Structure: optimized geometry

**Total DFT energy (no corrections)**: -3.8613 eV per atom
**Theoretical density**: 5.35 Mg/m³

a = 4.3742 Å, b = 4.3742 Å, c = 4.1767 Å
α = 90.00°, β = 90.00°, γ = 90.00°
Sites, in units of the cell vectors:
Mg (0.0000, 0.5000, 0.0000)
Mg (0.5000, 0.0000, 0.0000)
Nb (0.0000, 0.0000, 0.5000)
In (0.5000, 0.5000, 0.5000)
H (0.0000, 0.0000, 0.0000)


Compound: CdTcPCl2
Source: the Alexandria database
Functional: PBE-GGA
Structure: optimized geometry

**Total DFT energy (no corrections)**: -3.2514 eV per atom
**Raw formation energy**: 0.825 eV/atom
**Theoretical density**: 3.90 Mg/m³
**Relative energy among the computed polymorphs**: 0.751 eV per atom

a = 4.9642 Å, b = 4.9642 Å, c = 5.3936 Å
α = 90.00°, β = 90.00°, γ = 90.00°
Sites, in units of the cell vectors:
Cd (0.0000, 0.0000, 0.0000)
Tc (0.5000, 0.5000, 0.5000)
P (0.0000, 0.0000, 0.5000)
Cl (0.0000, 0.5000, 0.0000)
Cl (0.5000, 0.0000, 0.0000)


Compound: Zr2InBr
Source: the Alexandria database
Functional: PBE-GGA
Structure: optimized geometry

**Total DFT energy (no corrections)**: -5.3187 eV per atom
**Raw formation energy**: 0.058 eV/atom
**Theoretical density**: 6.83 Mg/m³
**Relative energy among the computed polymorphs**: 0.477 eV per atom

a = 5.8791 Å, b = 5.8791 Å, c = 5.8791 Å
α = 137.48°, β = 137.48°, γ = 61.71°
Sites, in units of the cell vectors:
Zr (0.0000, 0.0000, 0.0000)
Zr (0.7500, 0.2500, 0.5000)
In (0.5000, 0.5000, 0.0000)
Br (0.2500, 0.7500, 0.5000)